Here is a relaxed structure of Cs2KTaBr6 from Alexandria. Energies are from PBE.

Output
Its energy is -37.90 eV for the cell shown. The calculation puts the uncorrected formation energy at -1.321 eV/atom. As for the crystal system: cubic.

a b c (Å): 8.1970 8.1970 8.1967
angles (deg): 60.00 60.00 90.00
Last column: magnetic moment on the atom in μB.
Positions (direct):
Cs (0.7500, 0.2500, 0.5000)  0.00
Cs (0.2500, 0.7500, 0.5000)  0.00
K (0.5000, 0.5000, 0.0000)  0.00
Br (0.2274, 0.2274, 0.5451)  0.00
Br (0.7726, 0.7726, 0.4549)  0.00
Br (0.2274, 0.2274, 0.0000)  0.00
Br (0.7726, 0.7726, 0.0000)  0.00
Br (0.7726, 0.2274, 0.0000)  0.00
Br (0.2274, 0.7726, 0.0000)  0.00
Ta (0.0000, 0.0000, 0.0000)  1.36